A | A relaxed structure of LaYI2N, computed with PBE-GGA.

Cell: 6.475 6.475 4.146 Å, 90.00 90.00 90.00°
Element x y z (fractional)
I1 0.000 0.500 0.000
I2 0.500 0.000 0.000
Y1 0.500 0.500 0.500
N1 0.000 0.000 0.500
La1 0.000 0.000 0.000

Properties
Volume ... 173.81 Å³ per cell
Space-group type ... P4/mmm (123)

B | A relaxed structure of LaYI2N, computed with PBE-GGA.

Cell: 6.075 6.075 4.219 Å, 90.00 90.00 90.00°
Element x y z (fractional)
I1 0.000 0.500 0.000
I2 0.500 0.000 0.000
Y1 0.000 0.000 0.000
N1 0.000 0.000 0.500
La1 0.500 0.500 0.500

Properties
Volume ... 155.70 Å³ per cell
Space-group type ... P4/mmm (123)

In order of decreasing stability: B, A.

A | A relaxed structure of LaZrIN2, computed with PBE-GGA.

Cell: 4.390 4.390 5.537 Å, 90.00 90.00 90.00°
Element x y z (fractional)
I1 0.000 0.000 0.500
N1 0.000 0.500 0.000
N2 0.500 0.000 0.000
Zr1 0.000 0.000 0.000
La1 0.500 0.500 0.500

Properties
Volume ... 106.72 Å³ per cell
Space-group type ... P4/mmm (123)

B | A relaxed structure of LaZrIN2, computed with PBE-GGA.

Cell: 4.365 4.365 6.172 Å, 90.00 90.00 90.00°
Element x y z (fractional)
I1 0.000 0.000 0.500
N1 0.000 0.500 0.000
N2 0.500 0.000 0.000
Zr1 0.500 0.500 0.500
La1 0.000 0.000 0.000

Properties
Volume ... 117.58 Å³ per cell
Space-group type ... P4/mmm (123)

In order of decreasing stability: A, B.

A | A relaxed structure of NaLaI4, computed with PBE-GGA.

Cell: 6.398 9.355 10.170 Å, 90.00 90.00 110.03°
Element x y z (fractional)
Na1 0.758 0.002 0.750
Na2 0.242 0.998 0.250
La1 0.053 0.601 0.750
La2 0.947 0.399 0.250
I1 0.565 0.627 0.750
I2 0.435 0.373 0.250
I3 0.239 0.966 0.750
I4 0.761 0.034 0.250
I5 0.093 0.702 0.063
I6 0.907 0.298 0.563
I7 0.093 0.702 0.437
I8 0.907 0.298 0.937

Properties
Volume ... 571.87 Å³ per cell
Space-group type ... P2_1/m (11)

B | A relaxed structure of NaLaI4, computed with PBE-GGA.

Cell: 4.722 7.594 8.097 Å, 94.40 90.00 90.00°
Element x y z (fractional)
Na1 0.500 0.000 0.500
La1 0.000 0.000 0.000
I1 0.000 0.777 0.310
I2 0.500 0.242 0.168
I3 0.500 0.758 0.832
I4 0.000 0.223 0.690

Properties
Volume ... 289.49 Å³ per cell
Space-group type ... P2/m (10)

In order of decreasing stability: B, A.

A | A relaxed structure of NaLaI2, computed with PBE-GGA.

Cell: 4.037 4.037 7.853 Å, 90.00 90.00 90.00°
Element x y z (fractional)
I1 0.000 0.000 0.765
I2 0.000 0.000 0.235
Na1 0.500 0.500 0.500
La1 0.500 0.500 0.000

Properties
Volume ... 127.99 Å³ per cell
Space-group type ... P4/mmm (123)

B | A relaxed structure of NaLaI2, computed with PBE-GGA.

Cell: 4.154 7.195 9.113 Å, 89.99 89.99 90.00°
Element x y z (fractional)
Na1 0.201 0.817 0.608
Na2 0.701 0.317 0.608
La1 0.201 0.816 0.108
La2 0.701 0.316 0.108
I1 0.701 0.650 0.366
I2 0.701 0.650 0.850
I3 0.201 0.150 0.366
I4 0.201 0.150 0.850

Properties
Volume ... 272.39 Å³ per cell
Space-group type ... P-6m2 (187)

In order of decreasing stability: B, A.

A | A relaxed structure of NaLaI2, computed with PBE-GGA.

Cell: 4.180 4.180 9.237 Å, 76.92 76.92 60.00°
Element x y z (fractional)
Na1 0.667 0.667 0.000
La1 0.500 0.500 0.500
I1 0.079 0.079 0.763
I2 0.254 0.254 0.237

Properties
Volume ... 134.92 Å³ per cell
Space-group type ... R3m (160)

B | A relaxed structure of NaLaI2, computed with PBE-GGA.

Cell: 4.167 4.167 11.227 Å, 79.31 79.31 60.00°
Element x y z (fractional)
I1 0.099 0.099 0.702
I2 0.901 0.901 0.298
Na1 0.000 0.000 0.000
La1 0.500 0.500 0.500

Properties
Volume ... 164.89 Å³ per cell
Space-group type ... R-3m (166)

In order of decreasing stability: A, B.

A | A relaxed structure of NaLaI2, computed with PBE-GGA.

Cell: 5.678 5.678 5.678 Å, 60.00 60.00 60.00°
Element x y z (fractional)
I1 0.250 0.250 0.250
I2 0.750 0.750 0.750
Na1 0.000 0.000 0.000
La1 0.500 0.500 0.500

Properties
Volume ... 129.41 Å³ per cell
Space-group type ... Fm-3m (225)

B | A relaxed structure of NaLaI2, computed with PBE-GGA.

Cell: 7.826 7.826 8.160 Å, 61.35 61.35 90.00°
Element x y z (fractional)
I1 0.602 0.125 0.250
I2 0.148 0.625 0.250
I3 0.375 0.398 0.750
I4 0.875 0.852 0.750
Na1 0.500 0.500 0.000
Na2 0.250 0.750 0.500
La1 0.000 0.000 0.000
La2 0.750 0.250 0.500

Properties
Volume ... 367.29 Å³ per cell
Space-group type ... I-42d (122)

In order of decreasing stability: A, B.

A | A relaxed structure of NaLaSbI2, computed with PBE-GGA.

Cell: 5.484 5.484 6.055 Å, 90.00 90.00 90.00°
Element x y z (fractional)
I1 0.000 0.500 0.000
I2 0.500 0.000 0.000
Sb1 0.000 0.000 0.500
Na1 0.000 0.000 0.000
La1 0.500 0.500 0.500

Properties
Volume ... 182.13 Å³ per cell
Space-group type ... P4/mmm (123)

B | A relaxed structure of NaLaSbI2, computed with PBE-GGA.

Cell: 6.318 6.318 6.205 Å, 90.00 90.00 90.00°
Element x y z (fractional)
I1 0.000 0.500 0.000
I2 0.500 0.000 0.000
Sb1 0.000 0.000 0.500
Na1 0.500 0.500 0.500
La1 0.000 0.000 0.000

Properties
Volume ... 247.67 Å³ per cell
Space-group type ... P4/mmm (123)

In order of decreasing stability: B, A.

A | A relaxed structure of NaLaTe2I, computed with PBE-GGA.

Cell: 5.564 5.564 5.522 Å, 90.00 90.00 90.00°
Element x y z (fractional)
I1 0.000 0.000 0.500
Na1 0.000 0.000 0.000
Te1 0.000 0.500 0.000
Te2 0.500 0.000 0.000
La1 0.500 0.500 0.500

Properties
Volume ... 170.93 Å³ per cell
Space-group type ... P4/mmm (123)

B | A relaxed structure of NaLaTe2I, computed with PBE-GGA.

Cell: 6.176 6.176 6.379 Å, 90.00 90.00 90.00°
Element x y z (fractional)
I1 0.000 0.000 0.500
Na1 0.500 0.500 0.500
Te1 0.000 0.500 0.000
Te2 0.500 0.000 0.000
La1 0.000 0.000 0.000

Properties
Volume ... 243.34 Å³ per cell
Space-group type ... P4/mmm (123)

In order of decreasing stability: B, A.

A | A relaxed structure of LaNbI, computed with PBE-GGA.

Cell: 3.531 3.529 12.836 Å, 90.00 90.00 90.00°
Element x y z (fractional)
La1 0.000 0.000 0.065
La2 0.500 0.500 0.565
Nb1 0.000 0.000 0.740
Nb2 0.500 0.500 0.240
I1 0.000 0.000 0.357
I2 0.500 0.500 0.857

Properties
Volume ... 159.93 Å³ per cell
Space-group type ... I4mm (107)

B | A relaxed structure of LaNbI, computed with PBE-GGA.

Cell: 3.645 4.986 5.297 Å, 96.01 108.31 96.85°
Element x y z (fractional)
La1 0.021 0.806 0.018
Nb1 0.535 0.321 0.985
I1 0.822 0.259 0.536

Properties
Volume ... 89.70 Å³ per cell
Space-group type ... P1 (1)

In order of decreasing stability: A, B.

A | A relaxed structure of LaNbIO2, computed with PBE-GGA.

Cell: 4.232 4.232 5.606 Å, 90.00 90.00 90.00°
Element x y z (fractional)
I1 0.000 0.000 0.500
Nb1 0.000 0.000 0.000
O1 0.000 0.500 0.000
O2 0.500 0.000 0.000
La1 0.500 0.500 0.500

Properties
Volume ... 100.41 Å³ per cell
Space-group type ... P4/mmm (123)

B | A relaxed structure of LaNbIO2, computed with PBE-GGA.

Cell: 4.374 4.374 6.660 Å, 90.00 90.00 90.00°
Element x y z (fractional)
I1 0.000 0.000 0.500
Nb1 0.500 0.500 0.500
O1 0.000 0.500 0.000
O2 0.500 0.000 0.000
La1 0.000 0.000 0.000

Properties
Volume ... 127.44 Å³ per cell
Space-group type ... P4/mmm (123)

In order of decreasing stability: A, B.

A | A relaxed structure of La2NdI6, computed with PBE-GGA.

Cell: 4.316 9.051 11.744 Å, 114.86 90.00 103.79°
Element x y z (fractional)
La1 0.651 0.301 0.809
La2 0.349 0.699 0.191
Nd1 0.000 0.000 0.500
I1 0.305 0.610 0.886
I2 0.695 0.390 0.114
I3 0.991 0.983 0.217
I4 0.644 0.289 0.537
I5 0.009 0.017 0.783
I6 0.356 0.711 0.463

Properties
Volume ... 401.59 Å³ per cell
Space-group type ... C2/m (12)

B | A relaxed structure of La2NdI6, computed with PBE-GGA.

Cell: 8.127 8.127 12.261 Å, 90.00 90.00 90.00°
Element x y z (fractional)
La1 0.500 0.500 0.328
La2 0.500 0.500 0.672
La3 0.000 0.000 0.172
La4 0.000 0.000 0.828
Nd1 0.500 0.500 0.000
Nd2 0.000 0.000 0.500
I1 0.716 0.716 0.164
I2 0.716 0.716 0.836
I3 0.717 0.717 0.500
I4 0.783 0.217 0.000
I5 0.784 0.216 0.336
I6 0.784 0.216 0.664
I7 0.216 0.784 0.336
I8 0.216 0.784 0.664
I9 0.217 0.783 0.000
I10 0.283 0.283 0.500
I11 0.284 0.284 0.164
I12 0.284 0.284 0.836

Properties
Volume ... 809.72 Å³ per cell
Space-group type ... P4_2/mnm (136)

In order of decreasing stability: A, B.

A | A relaxed structure of LaNd2I, computed with PBE-GGA.

Cell: 3.861 3.861 11.075 Å, 79.96 79.96 60.00°
Element x y z (fractional)
I1 0.000 0.000 0.000
Nd1 0.744 0.744 0.768
Nd2 0.256 0.256 0.232
La1 0.500 0.500 0.500

Properties
Volume ... 140.05 Å³ per cell
Space-group type ... R-3m (166)

B | A relaxed structure of LaNd2I, computed with PBE-GGA.

Cell: 3.861 3.861 11.161 Å, 80.03 80.03 60.00°
Element x y z (fractional)
La1 0.500 0.500 0.500
Nd1 0.077 0.077 0.770
Nd2 0.257 0.257 0.229
I1 0.667 0.667 0.000

Properties
Volume ... 141.18 Å³ per cell
Space-group type ... R3m (160)

In order of decreasing stability: A, B.

A | A relaxed structure of LaNiI2, computed with PBE-GGA.

Cell: 7.804 7.804 6.585 Å, 53.66 53.66 90.00°
Element x y z (fractional)
I1 0.548 0.125 0.250
I2 0.202 0.625 0.250
I3 0.375 0.452 0.750
I4 0.875 0.798 0.750
Ni1 0.500 0.500 0.000
Ni2 0.250 0.750 0.500
La1 0.000 0.000 0.000
La2 0.750 0.250 0.500

Properties
Volume ... 218.82 Å³ per cell
Space-group type ... I-42d (122)

B | A relaxed structure of LaNiI2, computed with PBE-GGA.

Cell: 3.988 3.988 9.619 Å, 78.04 78.04 60.00°
Element x y z (fractional)
I1 0.113 0.113 0.661
I2 0.887 0.887 0.339
Ni1 0.500 0.500 0.500
La1 0.000 0.000 0.000

Properties
Volume ... 128.66 Å³ per cell
Space-group type ... R-3m (166)

C | A relaxed structure of LaNiI2, computed with PBE-GGA.

Cell: 5.383 5.383 5.383 Å, 60.00 60.00 60.00°
Element x y z (fractional)
I1 0.250 0.250 0.250
I2 0.750 0.750 0.750
Ni1 0.000 0.000 0.000
La1 0.500 0.500 0.500

Properties
Volume ... 110.29 Å³ per cell
Space-group type ... Fm-3m (225)

In order of decreasing stability: A, C, B.